(1)
A geometry-optimized SrPdSe structure. Source: Alexandria via LeMat-Bulk, functional GGA-PBE.

Cell: 4.146 4.464 4.464 Å, 120.00 90.00 90.00°
Fractional positions:
Sr  0.667  0.667  0.333
Pd  0.166  0.000  0.000
Se  0.167  0.333  0.667

Computed properties:
E_tot   -4.68 eV per atom
Uncorrected formation energy   -1224 meV/atom

---

(2)
A geometry-optimized TaSbC2Cl structure. Source: Alexandria via LeMat-Bulk, functional GGA-PBE.

Cell: 4.248 4.248 4.906 Å, 90.00 90.00 90.00°
Fractional positions:
Sb  0.500  0.500  0.500
C  0.000  0.500  0.000
Ta  0.000  0.000  0.000
Cl  0.000  0.000  0.500
C  0.500  0.000  0.000

Computed properties:
E_tot   -6.00 eV per atom
Uncorrected formation energy   1259 meV/atom

---

(3)
A geometry-optimized HfC structure. Source: Alexandria via LeMat-Bulk, functional GGA-PBE.

Cell: 7.662 7.662 4.609 Å, 90.00 90.00 90.00°
Fractional positions:
C  0.852  0.648  0.000
Hf  0.354  0.146  0.000
Hf  0.354  0.854  0.500
C  0.148  0.352  0.000
C  0.352  0.148  0.500
Hf  0.646  0.854  0.000
Hf  0.854  0.646  0.500
C  0.852  0.352  0.500
C  0.648  0.852  0.500
Hf  0.146  0.354  0.500
C  0.648  0.148  0.000
Hf  0.146  0.646  0.000
C  0.352  0.852  0.000
Hf  0.854  0.354  0.000
C  0.148  0.648  0.500
Hf  0.646  0.146  0.500

Computed properties:
E_tot   -10.11 eV per atom
E above lowest polymorph   427 meV per atom
Formation energy from the elements   -100 kJ/mol of formula units

---

(4)
A geometry-optimized Li3PmCu8 structure. Source: Alexandria via LeMat-Bulk, functional GGA-PBE.

Cell: 5.023 5.023 8.653 Å, 73.13 73.13 60.00°
Fractional positions:
Cu  0.689  0.689  0.934
Cu  0.441  0.441  0.176
Cu  0.441  0.942  0.176
Li  0.007  0.007  0.979
Cu  0.187  0.187  0.439
Cu  0.942  0.441  0.176
Li  0.487  0.487  0.540
Cu  0.938  0.433  0.692
Cu  0.938  0.938  0.692
Li  0.373  0.373  0.880
Cu  0.433  0.938  0.692
Pm  0.875  0.875  0.374

Computed properties:
E_tot   -3.71 eV per atom
E above lowest polymorph   4 meV per atom
Formation energy from the elements   -120 kJ/mol of formula units

---

(5)
A geometry-optimized BaCa2Bi structure. Source: Alexandria via LeMat-Bulk, functional GGA-PBE.

Cell: 10.170 10.170 8.048 Å, 50.81 50.81 90.00°
Fractional positions:
Ca  0.875  0.953  0.750
Bi  0.000  0.000  0.000
Bi  0.750  0.250  0.500
Ba  0.250  0.750  0.500
Ca  0.375  0.297  0.750
Ba  0.500  0.500  0.000
Ca  0.703  0.125  0.250
Ca  0.047  0.625  0.250

Computed properties:
E_tot   -2.78 eV per atom
Formation energy from the elements   -126 kJ/mol of formula units

---

(6)
A geometry-optimized Tb4Pm3ErS8 structure. Source: Alexandria via LeMat-Bulk, functional GGA-PBE.

Cell: 7.919 7.927 7.918 Å, 119.97 120.00 90.00°
Fractional positions:
S  0.754  0.761  0.507
Pm  0.000  0.500  0.500
S  0.246  0.239  0.493
Er  0.000  0.500  0.000
S  0.752  0.245  0.993
Tb  0.000  0.000  0.500
Tb  0.500  0.000  0.000
S  0.248  0.755  0.495
Tb  0.000  0.000  0.000
Pm  0.500  0.500  0.000
S  0.752  0.245  0.505
Tb  0.500  0.000  0.500
S  0.241  0.245  0.993
S  0.759  0.755  0.007
Pm  0.500  0.500  0.500
S  0.248  0.755  0.007

Computed properties:
E_tot   -6.40 eV per atom
Uncorrected formation energy   -2005 meV/atom

---

(7)
A geometry-optimized Na3GaSn12 structure. Source: Alexandria via LeMat-Bulk, functional GGA-PBE.

Cell: 4.647 4.647 19.651 Å, 90.00 90.00 90.00°
Fractional positions:
Sn  0.000  0.500  0.374
Sn  0.500  0.000  0.877
Sn  0.500  0.000  0.374
Sn  0.500  0.000  0.626
Sn  0.500  0.500  0.750
Sn  0.500  0.500  0.500
Na  0.000  0.000  0.751
Ga  0.000  0.000  0.000
Sn  0.500  0.000  0.123
Sn  0.000  0.500  0.626
Sn  0.500  0.500  0.250
Sn  0.500  0.500  0.000
Sn  0.000  0.500  0.877
Na  0.000  0.000  0.249
Sn  0.000  0.500  0.123
Na  0.000  0.000  0.500

Computed properties:
E_tot   -3.50 eV per atom
Formation energy from the elements   -102 kJ/mol of formula units

---

(8)
A geometry-optimized BaUZnO5 structure. Source: Alexandria via LeMat-Bulk, functional GGA-PBE.

Cell: 6.202 6.202 8.125 Å, 104.43 104.43 106.57°
Fractional positions:
O  0.285  0.892  0.595
U  0.000  0.000  0.000
O  0.766  0.651  0.403
O  0.715  0.108  0.405
Zn  0.690  0.310  0.250
Ba  0.331  0.669  0.250
U  0.000  0.000  0.500
O  0.349  0.234  0.097
Ba  0.669  0.331  0.750
O  0.108  0.715  0.905
O  0.065  0.935  0.250
O  0.234  0.349  0.597
Zn  0.310  0.690  0.750
O  0.892  0.285  0.095
O  0.651  0.766  0.903
O  0.935  0.065  0.750

Computed properties:
E_tot   -7.63 eV per atom
Uncorrected formation energy   -2719 meV/atom

---

(9)
A geometry-optimized Ba3Cd5In2Bi2 structure. Source: Alexandria via LeMat-Bulk, functional GGA-PBE.

Cell: 4.940 4.940 16.672 Å, 98.52 98.52 90.00°
Fractional positions:
Cd  0.500  0.500  0.000
Cd  0.421  0.921  0.842
Cd  0.579  0.079  0.158
Ba  0.831  0.831  0.662
Cd  0.079  0.579  0.158
In  0.366  0.366  0.732
Cd  0.921  0.421  0.842
Ba  0.169  0.169  0.338
Ba  0.000  0.000  0.000
Bi  0.273  0.273  0.546
Bi  0.727  0.727  0.454
In  0.634  0.634  0.268

Computed properties:
E_tot   -2.23 eV per atom
Formation energy from the elements   -309 kJ/mol of formula units

---

(10)
A geometry-optimized BiSO2 structure. Source: Alexandria via LeMat-Bulk, functional GGA-PBE.

Cell: 3.896 4.681 8.632 Å, 92.03 91.32 94.25°
Fractional positions:
S  0.642  0.517  0.163
O  0.418  0.274  0.245
Bi  0.827  0.127  0.430
O  0.398  0.701  0.083
O  0.367  0.008  0.564
Bi  0.399  0.880  0.807
S  0.865  0.516  0.746
O  0.799  0.690  0.315

Computed properties:
E_tot   -5.43 eV per atom
E above lowest polymorph   68 meV per atom
Uncorrected formation energy   -947 meV/atom

---

(11)
A geometry-optimized FeTcPb2 structure. Source: Alexandria via LeMat-Bulk, functional GGA-PBE.

Cell: 7.605 7.605 6.178 Å, 52.02 52.02 90.00°
Last column: magnetic moment on the atom in μB.
Fractional positions:
Pb  0.138  0.625  0.250  -0.04
Pb  0.612  0.125  0.250  -0.04
Fe  0.500  0.500  0.000  2.76
Pb  0.375  0.388  0.750  -0.04
Tc  0.750  0.250  0.500  2.02
Pb  0.875  0.862  0.750  -0.04
Fe  0.250  0.750  0.500  2.75
Tc  0.000  0.000  0.000  2.02

Computed properties:
E_tot   -5.54 eV per atom
E above lowest polymorph   670 meV per atom
Formation energy from the elements   393 kJ/mol of formula units

---

(12)
A geometry-optimized Pa2In structure. Source: Alexandria via LeMat-Bulk, functional GGA-PBE.

Cell: 6.036 6.036 6.036 Å, 60.00 60.00 60.00°
Last column: magnetic moment on the atom in μB.
Fractional positions:
Pa  0.625  0.125  0.625  0.52
Pa  0.625  0.625  0.625  0.52
In  0.000  0.000  0.000  -0.01
Pa  0.125  0.625  0.625  0.52
In  0.250  0.250  0.250  -0.01
Pa  0.625  0.625  0.125  0.52

Computed properties:
E_tot   -7.01 eV per atom
E above lowest polymorph   198 meV per atom
Formation energy from the elements   67 kJ/mol of formula units

---

(13)
A geometry-optimized Nd5Cd2Os2 structure. Source: Alexandria via LeMat-Bulk, functional GGA-PBE.

Cell: 7.710 7.869 9.195 Å, 90.00 65.21 90.00°
Fractional positions:
Cd  0.223  0.000  0.554
Nd  0.564  0.815  0.240
Nd  0.696  0.315  0.240
Nd  0.436  0.185  0.760
Os  0.112  0.385  0.000
Os  0.612  0.115  0.000
Nd  0.064  0.685  0.240
Cd  0.277  0.500  0.446
Nd  0.304  0.685  0.760
Nd  0.936  0.315  0.760
Cd  0.777  0.000  0.446
Os  0.888  0.615  0.000
Nd  0.000  0.000  0.000
Nd  0.500  0.500  0.000
Nd  0.804  0.815  0.760
Cd  0.723  0.500  0.554
Os  0.388  0.885  0.000
Nd  0.196  0.185  0.240

Computed properties:
E_tot   -5.50 eV per atom
Formation energy from the elements   -133 kJ/mol of formula units

---

(14)
A geometry-optimized La2ZrSb3Rh4 structure. Source: Alexandria via LeMat-Bulk, functional GGA-PBE.

Cell: 4.416 4.416 11.260 Å, 90.00 90.00 90.00°
Fractional positions:
La  0.000  0.500  0.761
Rh  0.500  0.500  0.000
Zr  0.500  0.500  0.500
Rh  0.000  0.000  0.000
La  0.500  0.000  0.239
Rh  0.500  0.000  0.637
Rh  0.000  0.500  0.363
Sb  0.000  0.500  0.132
Sb  0.500  0.000  0.868
Sb  0.000  0.000  0.500

Computed properties:
E_tot   -6.91 eV per atom
Uncorrected formation energy   -897 meV/atom

---

(15)
A geometry-optimized RbRe2MoI structure. Source: Alexandria via LeMat-Bulk, functional GGA-PBE.

Cell: 4.866 4.835 4.866 Å, 90.00 90.00 90.00°
Last column: magnetic moment on the atom in μB.
Fractional positions:
I  0.500  0.500  0.500  -0.03
Re  0.000  0.000  0.500  0.27
Mo  0.000  0.500  0.000  1.42
Re  0.500  0.000  0.000  0.29
Rb  0.000  0.000  0.000  0.02

Computed properties:
E_tot   -3.64 eV per atom
Uncorrected formation energy   4012 meV/atom

---

(16)
A geometry-optimized Y2CdAu3 structure. Source: Alexandria via LeMat-Bulk, functional GGA-PBE.

Cell: 5.006 5.006 12.257 Å, 90.00 90.00 120.00°
Fractional positions:
Y  0.000  0.000  0.500
Au  0.667  0.333  0.574
Au  0.000  0.000  0.246
Y  0.333  0.667  0.184
Au  0.667  0.333  0.069
Cd  0.333  0.667  0.668
Y  0.667  0.333  0.816
Au  0.000  0.000  0.754
Au  0.333  0.667  0.426
Au  0.333  0.667  0.931
Y  0.000  0.000  0.000
Cd  0.667  0.333  0.332

Computed properties:
E_tot   -4.68 eV per atom
Formation energy from the elements   -427 kJ/mol of formula units

---

(17)
A geometry-optimized TlFeSi2Ge structure. Source: Alexandria via LeMat-Bulk, functional GGA-PBE.

Cell: 4.326 5.243 4.326 Å, 90.00 90.00 90.00°
Fractional positions:
Tl  0.000  0.500  0.000
Si  0.500  0.000  0.000
Ge  0.500  0.500  0.500
Si  0.000  0.000  0.500
Fe  0.000  0.000  0.000

Computed properties:
E_tot   -4.80 eV per atom
Uncorrected formation energy   455 meV/atom

---

(18)
A geometry-optimized Dy2LuFe structure. Source: Alexandria via LeMat-Bulk, functional GGA-PBE.

Cell: 3.450 3.450 8.431 Å, 90.00 90.00 90.00°
Last column: magnetic moment on the atom in μB.
Fractional positions:
Lu  0.500  0.500  0.500  0.34
Dy  0.000  0.000  0.192  -0.18
Dy  0.000  0.000  0.808  -0.18
Fe  0.500  0.500  0.000  1.85

Computed properties:
E_tot   -5.45 eV per atom
E above lowest polymorph   0 meV per atom
Formation energy from the elements   37 kJ/mol of formula units

---

(19)
A geometry-optimized Pm2PrSc structure. Source: Alexandria via LeMat-Bulk, functional GGA-PBE.

Cell: 3.643 6.788 6.788 Å, 54.13 74.46 74.46°
Fractional positions:
Pr  0.250  0.176  0.324
Pm  0.491  0.585  0.432
Sc  0.750  0.671  0.829
Pm  0.009  0.068  0.915

Computed properties:
E_tot   -5.10 eV per atom
E above lowest polymorph   15 meV per atom
Formation energy from the elements   20 kJ/mol of formula units

---

(20)
A geometry-optimized BaAg11 structure. Source: Alexandria via LeMat-Bulk, functional GGA-PBE.

Cell: 7.614 8.980 8.980 Å, 79.65 64.92 64.92°
Fractional positions:
Ag  0.735  0.830  0.585
Ag  0.750  0.500  0.500
Ag  0.150  0.170  0.415
Ag  0.680  0.170  0.585
Ag  0.375  0.750  0.750
Ag  0.600  0.330  0.085
Ag  0.015  0.915  0.670
Ag  0.070  0.330  0.915
Ag  0.875  0.250  0.250
Ag  0.150  0.415  0.170
Ag  0.680  0.585  0.170
Ag  0.735  0.585  0.830
Ag  0.315  0.085  0.670
Ag  0.070  0.915  0.330
Ba  0.500  0.000  0.000
Ag  0.600  0.085  0.330
Ag  0.435  0.415  0.830
Ag  0.015  0.670  0.915
Ag  0.315  0.670  0.085
Ag  0.435  0.830  0.415
Ag  0.875  0.750  0.250
Ag  0.000  0.000  0.000
Ag  0.875  0.250  0.750
Ba  0.250  0.500  0.500

Computed properties:
E_tot   -2.83 eV per atom
Formation energy from the elements   -69 kJ/mol of formula units